[1]
A relaxed structure of Ca2SbPd, computed with PBE.

a = 3.5550 Å, b = 3.5550 Å, c = 7.9775 Å
α = 90.00°, β = 90.00°, γ = 90.00°
Sites, in units of the cell vectors:
Ca: 0.0000 0.0000 0.2215
Ca: 0.0000 0.0000 0.7785
Sb: 0.5000 0.5000 0.5000
Pd: 0.5000 0.5000 0.0000

Computed properties:
E   -4.0675 eV/atom
V   25.21 A^3/atom



[2]
A relaxed structure of CaSb3Pd3, computed with PBE.

a = 7.3158 Å, b = 7.3158 Å, c = 7.3158 Å
α = 90.00°, β = 90.00°, γ = 90.00°
Sites, in units of the cell vectors:
Ca: 0.0000 0.0000 0.0000
Ca: 0.5000 0.5000 0.5000
Sb: 0.0000 0.2500 0.5000
Sb: 0.0000 0.7500 0.5000
Sb: 0.2500 0.5000 0.0000
Sb: 0.5000 0.0000 0.2500
Sb: 0.5000 0.0000 0.7500
Sb: 0.7500 0.5000 0.0000
Pd: 0.0000 0.5000 0.2500
Pd: 0.0000 0.5000 0.7500
Pd: 0.2500 0.0000 0.5000
Pd: 0.5000 0.2500 0.0000
Pd: 0.5000 0.7500 0.0000
Pd: 0.7500 0.0000 0.5000

Computed properties:
E   -4.5570 eV/atom
V   27.97 A^3/atom
Distance to the lowest polymorph of the same formula   185 meV/atom



[3]
A relaxed structure of CaSbPd6, computed with PBE.

a = 4.1289 Å, b = 4.1289 Å, c = 8.0168 Å
α = 90.00°, β = 90.00°, γ = 90.00°
Sites, in units of the cell vectors:
Ca: 0.0000 0.0000 0.0000
Sb: 0.0000 0.0000 0.5000
Pd: 0.0000 0.5000 0.2629
Pd: 0.0000 0.5000 0.7371
Pd: 0.5000 0.0000 0.2629
Pd: 0.5000 0.0000 0.7371
Pd: 0.5000 0.5000 0.0000
Pd: 0.5000 0.5000 0.5000

Computed properties:
E   -5.1334 eV/atom
V   17.08 A^3/atom
Distance to the lowest polymorph of the same formula   0 meV/atom



[4]
A relaxed structure of CaSb2Pd6, computed with PBE.

a = 6.9572 Å, b = 6.9572 Å, c = 6.9572 Å
α = 143.21°, β = 112.71°, γ = 79.23°
Sites, in units of the cell vectors:
Ca: 0.0000 0.0000 0.0000
Sb: 0.3051 0.3051 0.0000
Sb: 0.6949 0.6949 0.0000
Pd: 0.1270 0.8260 0.3011
Pd: 0.2863 0.5000 0.7863
Pd: 0.4751 0.1740 0.3011
Pd: 0.5249 0.8260 0.6989
Pd: 0.7137 0.5000 0.2137
Pd: 0.8730 0.1740 0.6989

Computed properties:
E   -5.0349 eV/atom
V   20.16 A^3/atom
Distance to the lowest polymorph of the same formula   0 meV/atom



Q: Which formation energy without anion corrections values were calculated for the entries above? A: -2.952, -1.952, -3.786, -3.911, in eV/f.u..